ReAuNO: relaxed, PBE.

Cell lengths 2.7588, 5.9370, 7.4957 Å; angles 90.00, 90.00, 90.00 degrees
Fractional coordinates of all 8 atoms:
1 Re 0.0000 0.0596 0.0000
2 Re 0.0000 0.9404 0.5000
3 Au 0.5000 0.3394 0.5123
4 Au 0.5000 0.6606 0.0123
5 N 0.0000 0.0420 0.7692
6 N 0.0000 0.9580 0.2692
7 O 0.5000 0.2956 0.0538
8 O 0.5000 0.7044 0.5538

Distance to the lowest polymorph of the same formula   0.00 kJ per mole of atoms
Energy   -7.335 eV/atom
Magnetization   0.0 μB per formula unit